1.
Compound: LiYZr2
Source: Alexandria via LeMat-Bulk
Functional: PBE
Structure: optimized geometry

a b c (Å): 3.358 4.239 6.859
angles (deg): 90.00 90.00 90.00
Element x y z (fractional)
Li 0.000 0.000 0.000
Y 0.500 0.500 0.271
Zr 0.000 0.000 0.549
Zr 0.500 0.500 0.756

Output
E_form	17.0	kJ per mole of atoms

2.
Compound: KOs2W
Source: Alexandria via LeMat-Bulk
Functional: PBE
Structure: optimized geometry

a b c (Å): 4.812 4.812 7.018
angles (deg): 98.08 98.08 34.91
Element x y z (fractional)
K 0.000 0.000 0.000
Os 0.218 0.218 0.638
Os 0.782 0.782 0.362
W 0.500 0.500 0.500

Output
E_form	93.2	kJ per mole of atoms